Ho6CoPd: optimized geometry, PBE.

Lattice parameters (Å, degrees): 6.659 10.846 6.640 90.00 108.28 90.00
Space group C2/m (No. 12)
One atom of each set of equivalent atoms:
Ho1 0.228 0.173 0.239 x8
Ho2 0.247 0.500 0.231 x4
Co1 0.000 0.000 0.000 x2
Pd1 0.000 0.500 0.500 x2

formation energy from the elements = -0.20 eV/atom
calculated volume = 455.3 Å³ per cell